AcTmCrO6 | PBE with a Hubbard U | optimized geometry

Cell: 5.404 5.404 5.234 Å, 90.00 90.00 120.00°
Element x y z (fractional)
Ac (0.000, 0.000, 0.000)
Tm (0.333, 0.667, 0.500)
Cr (0.667, 0.333, 0.500)
O (0.392, 0.046, 0.706)
O (0.392, 0.346, 0.294)
O (0.654, 0.046, 0.294)
O (0.654, 0.608, 0.706)
O (0.954, 0.346, 0.706)
O (0.954, 0.608, 0.294)

Results
Total DFT energy (no corrections): -7.448 eV/atom